[1]
Density functional theory data (GGA-PBEsol) for a geometry-optimized KZn2Co structure.

Its density of states at the Fermi level is 3.793 states/eV/f.u. The formation enthalpy at 0 K comes out at 0.522 eV per atom. The energy relative to the lowest polymorph listed for this composition comes out at 223 meV per atom.

The space group is Immm (No. 71) and the conventional cell measures 2.692, 5.389 and 10.434 Å, with angles of 90.00, 90.00 and 90.00 degrees. The distinct sites, in fractional coordinates, are K at (0.000, 0.000, 0.000), Zn at (0.000, 0.500, 0.192) and Co at (0.000, 0.000, 0.500).

=====

[2]
Density functional theory data (GGA-PBEsol) for a geometry-optimized NiH4I2O8 structure.

For the total DFT energy (no corrections), the calculation gives -0.367 Ry/atom.

The space group is Pbca (No. 61) and the conventional cell measures 6.564, 8.930 and 11.877 Å, with angles of 90.00, 90.00 and 90.00 degrees. The distinct sites, in fractional coordinates, are Ni at (0.000, 0.000, 0.000), H at (0.228, 0.070, 0.351), H at (0.235, 0.108, 0.851), I at (0.217, 0.725, 0.134), O at (0.051, 0.212, 0.048), O at (0.168, 0.223, 0.275), O at (0.177, 0.571, 0.628) and O at (0.249, 0.519, 0.901).

=====

[3]
Density functional theory data (GGA-PBEsol) for a geometry-optimized FeTcAg2 structure.

Its density of states at the Fermi level is 2.930 states/eV/f.u. The formation enthalpy at 0 K comes out at 0.323 eV per atom.

The space group is Cmm2 (No. 35) and the conventional cell measures 3.043, 4.327 and 8.909 Å, with angles of 90.00, 90.00 and 90.00 degrees. The distinct sites, in fractional coordinates, are Fe at (0.000, 0.000, 0.000), Tc at (0.000, 0.500, 0.214), Ag at (0.000, 0.000, 0.483) and Ag at (0.000, 0.500, 0.752).

=====

[4]
Density functional theory data (GGA-PBEsol) for a geometry-optimized TaSiW structure.

Its density of states at the Fermi level is 2.534 states/eV/f.u. Its energy relative to the elements, uncorrected is 0.15 eV per atom.

The space group is P3m1 (No. 156) and the conventional cell measures 2.8385, 2.8385 and 6.7203 Å, with angles of 90.00, 90.00 and 120.00 degrees. The distinct sites, in fractional coordinates, are Ta at (0.0000, 0.0000, 0.0000), Si at (0.3333, 0.6667, 0.3252) and W at (0.6667, 0.3333, 0.6375).

=====

[5]
Density functional theory data (GGA-PBEsol) for a geometry-optimized CrIrRh structure.

Its density of states at the Fermi level is 3.361 states/eV/f.u. The formation enthalpy at 0 K comes out at -0.100 eV per atom. The energy relative to the lowest polymorph listed for this composition comes out at 33 meV per atom.

The space group is Imm2 (No. 44) and the conventional cell measures 2.640, 3.684 and 8.004 Å, with angles of 90.00, 90.00 and 90.00 degrees. The distinct sites, in fractional coordinates, are Cr at (0.000, 0.000, 0.000), Ir at (0.000, 0.000, 0.657) and Rh at (0.000, 0.000, 0.333).

=====

[6]
Density functional theory data (GGA-PBEsol) for a geometry-optimized BaMgBe structure.

Its density of states at the Fermi level is 1.920 states/eV/f.u. The formation enthalpy at 0 K comes out at 0.384 eV per atom. The energy relative to the lowest polymorph listed for this composition comes out at 0 meV per atom.

The space group is I4mm (No. 107) and the conventional cell measures 3.467, 3.467 and 12.750 Å, with angles of 90.00, 90.00 and 90.00 degrees. The distinct sites, in fractional coordinates, are Ba at (0.000, 0.000, 0.000), Mg at (0.000, 0.000, 0.727) and Be at (0.000, 0.000, 0.319).

=====

[7]
Density functional theory data (GGA-PBEsol) for a geometry-optimized Y2TlNi structure.

Its density of states at the Fermi level is 3.710 states/eV/f.u. The formation enthalpy at 0 K comes out at -0.281 eV per atom.

The space group is C2/m (No. 12) and the conventional cell measures 6.417, 3.767 and 8.440 Å, with angles of 90.00, 105.43 and 90.00 degrees. The distinct sites, in fractional coordinates, are Y at (0.232, 0.000, 0.198), Tl at (0.000, 0.000, 0.500) and Ni at (0.000, 0.500, 0.000).

=====

[8]
Density functional theory data (GGA-PBEsol) for a geometry-optimized Al2Ag structure.

Its density of states at the Fermi level is 0.897 states/eV/f.u. The formation enthalpy at 0 K comes out at -0.042 eV per atom.

The space group is P3m1 (No. 156) and the conventional cell measures 5.7903, 5.7903 and 6.7225 Å, with angles of 90.00, 90.00 and 120.00 degrees. The distinct sites, in fractional coordinates, are Al at (0.0000, 0.0000, 0.0000), Al at (0.0031, 0.5016, 0.9971), Al at (0.1649, 0.3298, 0.6606), Al at (0.3333, 0.6667, 0.3320), Ag at (0.3330, 0.1665, 0.3266) and Ag at (0.6667, 0.3333, 0.6764).

=====

[9]
Density functional theory data (GGA-PBEsol) for a geometry-optimized BaSr5 structure.

Its density of states at the Fermi level is 6.267 states/eV/f.u. The formation enthalpy at 0 K comes out at 0.005 eV per atom. The energy relative to the lowest polymorph listed for this composition comes out at 0 meV per atom.

The space group is Cmmm (No. 65) and the conventional cell measures 5.964, 17.875 and 5.980 Å, with angles of 90.00, 90.00 and 90.00 degrees. The distinct sites, in fractional coordinates, are Ba at (0.000, 0.000, 0.000), Sr at (0.000, 0.168, 0.500), Sr at (0.000, 0.331, 0.000) and Sr at (0.000, 0.500, 0.500).

=====

[10]
Density functional theory data (GGA-PBEsol) for a geometry-optimized NaNi2H3S2O10 structure.

For the total DFT energy (no corrections), the calculation gives -0.439 Ry/atom.

The space group is C2/m (No. 12) and the conventional cell measures 8.559, 6.124 and 7.237 Å, with angles of 90.00, 115.11 and 90.00 degrees. The distinct sites, in fractional coordinates, are Na at (0.000, 0.000, 0.000), Ni at (0.250, 0.250, 0.500), H at (0.000, 0.000, 0.500), H at (0.197, 0.000, 0.739), S at (0.091, 0.500, 0.792), O at (0.018, 0.300, 0.251), O at (0.155, 0.000, 0.587), O at (0.186, 0.500, 0.655) and O at (0.222, 0.500, 0.003).

=====

Quick rundown of total magnetic moment, same order as above: 1.85 8.12 4.98 0.00 0.01 0.00 0.00 0.00 0.00 7.94 μB/cell
Quick rundown of ρ, same order as above: 5.02 4.24 10.46 13.91 14.81 3.70 7.44 5.51 3.00 3.55 g/cm³